A plane-wave DFT calculation with GGA-PBE was carried out for an optimized crystal structure of OsPtCl2.

Cell and atoms, written as CIF:
```
data_OsPtCl2
_space_group_name_H-M_alt 'C m m 2'
_space_group_IT_number 35
_space_group_name_Hall 'C 2 -2'
_cell_length_a 2.8290
_cell_length_b 5.4320
_cell_length_c 9.7166
_cell_angle_alpha 90.00
_cell_angle_beta 90.00
_cell_angle_gamma 90.00
loop_
_atom_site_label
_atom_site_fract_x
_atom_site_fract_y
_atom_site_fract_z
Os1 0.0000 0.0000 0.0000
Pt1 0.0000 0.5000 0.2288
Cl1 0.0000 0.0000 0.4459
Cl2 0.0000 0.5000 0.8024
```

## Properties
As for the total DFT energy (no corrections): -38.25 eV per cell. As for the theoretical density: 10.15 g/cm3. The crystal system is orthorhombic. The energy relative to the elements, uncorrected is 1.84 eV per formula unit. Its excess energy over the best structure of this formula in the dataset is 30.3 kJ per mole of atoms.